# 1
Entry from Alexandria: a relaxed structure of LaGaIr2 (PBE).

abc: 4.096 4.096 9.843
angles: 90.00 90.00 90.00
Space group P4/nmm (No. 129, origin choice 2)
One atom of each set of equivalent atoms:
1 La 0.250 0.250 0.197 [2 per cell]
2 Ga 0.250 0.250 0.645 [2 per cell]
3 Ir 0.250 0.250 0.893 [2 per cell]
4 Ir 0.250 0.750 0.500 [2 per cell]

Total magnetic moment, μB per cell: 0.00
Formation energy from the elements, eV/atom: -0.433
Total energy, eV per atom: -6.852
Density, g/cm3: 11.93
Crystal system: tetragonal


# 2
Entry from Alexandria: a relaxed structure of La3Ga5Ir6 (PBE).

abc: 4.282 12.712 10.107
angles: 90.00 90.00 90.00
Space group Pmmn (No. 59, origin choice 2)
One atom of each set of equivalent atoms:
1 La 0.250 0.082 0.248 [4 per cell]
2 La 0.250 0.750 0.253 [2 per cell]
3 Ga 0.250 0.079 0.641 [4 per cell]
4 Ga 0.250 0.623 0.984 [4 per cell]
5 Ga 0.250 0.750 0.613 [2 per cell]
6 Ir 0.250 0.061 0.889 [4 per cell]
7 Ir 0.250 0.250 0.015 [2 per cell]
8 Ir 0.250 0.250 0.515 [2 per cell]
9 Ir 0.250 0.580 0.491 [4 per cell]

Total magnetic moment, μB per cell: 0.00
Formation energy from the elements, eV/atom: -0.665
Total energy, eV per atom: -6.599
Density, g/cm3: 11.58
Crystal system: orthorhombic


# 3
Entry from Alexandria: a relaxed structure of La3GaIr (PBE).

abc: 15.017 4.535 10.297
angles: 90.00 122.23 90.00
Space group C2/m (No. 12)
One atom of each set of equivalent atoms:
1 La 0.097 0.000 0.443 [4 per cell]
2 La 0.134 0.500 0.195 [4 per cell]
3 La 0.164 0.500 0.819 [4 per cell]
4 Ga 0.068 0.000 0.929 [4 per cell]
5 Ir 0.229 0.500 0.596 [4 per cell]

Total magnetic moment, μB per cell: 0.00
Formation energy from the elements, eV/atom: -0.529
Total energy, eV per atom: -5.863
Density, g/cm3: 7.60
Crystal system: monoclinic


# 4
Entry from Alexandria: a relaxed structure of LaGa6Ir3 (PBE).

abc: 8.674 4.305 9.703
angles: 90.00 93.89 90.00
Space group P2_1/m (No. 11)
One atom of each set of equivalent atoms:
1 La 0.050 0.250 0.292 [2 per cell]
2 Ga 0.123 0.750 0.029 [2 per cell]
3 Ga 0.188 0.250 0.618 [2 per cell]
4 Ga 0.308 0.750 0.260 [2 per cell]
5 Ga 0.319 0.750 0.781 [2 per cell]
6 Ga 0.433 0.250 0.425 [2 per cell]
7 Ga 0.460 0.250 0.908 [2 per cell]
8 Ir 0.164 0.250 0.884 [2 per cell]
9 Ir 0.273 0.750 0.512 [2 per cell]
10 Ir 0.383 0.250 0.151 [2 per cell]

Total magnetic moment, μB per cell: 0.00
Formation energy from the elements, eV/atom: -0.533
Total energy, eV per atom: -5.500
Density, g/cm3: 10.42
Crystal system: monoclinic


# 5
Entry from Alexandria: a relaxed structure of La3Ga3Ir (PBE).

abc: 11.335 4.382 14.882
angles: 90.00 107.05 90.00
Space group C2/m (No. 12)
One atom of each set of equivalent atoms:
1 La 0.019 0.000 0.387 [4 per cell]
2 La 0.114 0.000 0.919 [4 per cell]
3 La 0.236 0.000 0.238 [4 per cell]
4 Ga 0.030 0.500 0.232 [4 per cell]
5 Ga 0.098 0.500 0.074 [4 per cell]
6 Ga 0.171 0.500 0.536 [4 per cell]
7 Ir 0.235 0.500 0.380 [4 per cell]

Total magnetic moment, μB per cell: 0.00
Formation energy from the elements, eV/atom: -0.667
Total energy, eV per atom: -5.341
Density, g/cm3: 7.69
Crystal system: monoclinic


# 6
Entry from Alexandria: a relaxed structure of LaGa3Ir2 (PBE).

abc: 16.821 4.144 9.985
angles: 90.00 104.42 90.00
Space group C2/m (No. 12)
One atom of each set of equivalent atoms:
1 La 0.000 0.000 0.000 [2 per cell]
2 La 0.151 0.000 0.699 [4 per cell]
3 Ga 0.000 0.500 0.500 [2 per cell]
4 Ga 0.052 0.000 0.359 [4 per cell]
5 Ga 0.145 0.500 0.195 [4 per cell]
6 Ga 0.150 0.500 0.940 [4 per cell]
7 Ga 0.222 0.000 0.377 [4 per cell]
8 Ir 0.009 0.500 0.776 [4 per cell]
9 Ir 0.141 0.500 0.446 [4 per cell]
10 Ir 0.207 0.000 0.095 [4 per cell]

Total magnetic moment, μB per cell: 0.00
Formation energy from the elements, eV/atom: -0.649
Total energy, eV per atom: -5.937
Density, g/cm3: 10.83
Crystal system: monoclinic


# 7
Entry from Alexandria: a relaxed structure of La3Ga2Ir2 (PBE).

abc: 5.825 8.223 13.903
angles: 90.00 90.00 90.00
Space group Pbcm (No. 57)
One atom of each set of equivalent atoms:
1 La 0.127 0.243 0.250 [4 per cell]
2 La 0.349 0.602 0.097 [8 per cell]
3 Ga 0.124 0.250 0.000 [4 per cell]
4 Ga 0.364 0.604 0.750 [4 per cell]
5 Ir 0.143 0.530 0.591 [8 per cell]

Total magnetic moment, μB per cell: 0.00
Formation energy from the elements, eV/atom: -0.758
Total energy, eV per atom: -6.266
Density, g/cm3: 9.38
Crystal system: orthorhombic


# 8
Entry from Alexandria: a relaxed structure of LaGaIr3 (PBE).

abc: 5.010 5.010 5.010
angles: 90.00 90.00 90.00
Space group Pm-3m (No. 221)
One atom of each set of equivalent atoms:
1 La 0.000 0.000 0.000 [1 per cell]
2 Ga 0.500 0.500 0.500 [1 per cell]
3 Ir 0.000 0.000 0.500 [3 per cell]

Total magnetic moment, μB per cell: 0.87
Formation energy from the elements, eV/atom: 1.829
Total energy, eV per atom: -5.079
Density, g/cm3: 10.37
Crystal system: cubic